## InAgIr2 (GGA-PBE)

Data for crystalline InAgIr2 at its relaxed geometry.

Computed properties:
SG = Pmm2 (25)

Lattice parameters (Å, degrees): 2.865 3.938 5.933 90.00 90.00 90.00
Fractional positions:
In1 0.000 0.000 0.000
Ag1 0.500 0.500 0.737
Ir1 0.000 0.000 0.476
Ir2 0.500 0.500 0.265

=====

## Tb6Y3ErTh2 (GGA-PBE)

Data for crystalline Tb6Y3ErTh2 at its relaxed geometry.

Computed properties:
SG = C2/m (12)

Lattice parameters (Å, degrees): 6.171 6.171 11.830 95.00 95.00 119.96
Fractional positions:
Tb1 0.081 0.417 0.753
Tb2 0.246 0.246 0.247
Tb3 0.417 0.081 0.753
Tb4 0.583 0.919 0.247
Tb5 0.754 0.754 0.753
Tb6 0.919 0.583 0.247
Y1 0.000 0.000 0.500
Y2 0.334 0.666 0.500
Y3 0.666 0.334 0.500
Er1 0.500 0.500 0.000
Th1 0.167 0.833 0.000
Th2 0.833 0.167 0.000

=====

Summary of formation energy in eV/atom
0.24, 0.03
(order as listed above)
Summary of magnetic moment in μB per atom
0.00, 0.00
(order as listed above)